1.
## MnCrFe2H (GGA-PBE)

Data for an optimized crystal structure of MnCrFe2H.

Unit cell a=3.551 b=3.551 c=3.672 alpha=90.00 beta=90.00 gamma=90.00
Space group P4/mmm (No. 123)
Symmetry-distinct sites (fractional):
Mn 0.000 0.000 0.000 (multiplicity 1)
Cr 0.500 0.500 0.000 (multiplicity 1)
Fe 0.000 0.500 0.500 (multiplicity 2)
H 0.500 0.500 0.500 (multiplicity 1)

Output
The energy above the lowest structure with this stoichiometry comes out at 0.023 eV per atom. The density of states at the Fermi level is 1.02 states/eV/atom. The value obtained for the total energy is -7.7658 eV per atom.

2.
## MnCrFe2H (GGA-PBE)

Data for an optimized crystal structure of MnCrFe2H.

Unit cell a=3.572 b=3.572 c=3.652 alpha=90.00 beta=90.00 gamma=90.00
Space group P4/mmm (No. 123)
Symmetry-distinct sites (fractional):
Mn 0.000 0.000 0.000 (multiplicity 1)
Cr 0.500 0.500 0.000 (multiplicity 1)
Fe 0.000 0.500 0.500 (multiplicity 2)
H 0.000 0.000 0.500 (multiplicity 1)

Output
The energy above the lowest structure with this stoichiometry comes out at 0.000 eV per atom. The density of states at the Fermi level is 0.88 states/eV/atom. The value obtained for the total energy is -7.7886 eV per atom.

3.
## MnCr2FeH (GGA-PBE)

Data for an optimized crystal structure of MnCr2FeH.

Unit cell a=3.632 b=3.632 c=3.589 alpha=90.00 beta=90.00 gamma=90.00
Space group P4/mmm (No. 123)
Symmetry-distinct sites (fractional):
Mn 0.000 0.000 0.000 (multiplicity 1)
Cr 0.000 0.500 0.500 (multiplicity 2)
Fe 0.500 0.500 0.000 (multiplicity 1)
H 0.000 0.000 0.500 (multiplicity 1)

Output
The energy above the lowest structure with this stoichiometry comes out at 0.000 eV per atom. The density of states at the Fermi level is 0.85 states/eV/atom. The value obtained for the total energy is -7.9509 eV per atom.

4.
## MnCr2FeH (GGA-PBE)

Data for an optimized crystal structure of MnCr2FeH.

Unit cell a=3.641 b=3.641 c=3.510 alpha=90.00 beta=90.00 gamma=90.00
Space group P4/mmm (No. 123)
Symmetry-distinct sites (fractional):
Mn 0.000 0.000 0.000 (multiplicity 1)
Cr 0.000 0.500 0.500 (multiplicity 2)
Fe 0.500 0.500 0.000 (multiplicity 1)
H 0.500 0.500 0.500 (multiplicity 1)

Output
The energy above the lowest structure with this stoichiometry comes out at 0.017 eV per atom. The density of states at the Fermi level is 1.17 states/eV/atom. The value obtained for the total energy is -7.9342 eV per atom.

Q: What is the energy above the lowest structure with this stoichiometry in the fourth record?
A: 0.017 eV per atom